This record from Alexandria via LeMat-Bulk describes a PBEsol-optimized structure of TaIn2Br. The functional is SCAN.

Output
E_form (uncorrected) in meV/atom: 108
Space group: P4mm, No. 99

```
TaIn2Br
1.0
3.091 0.000 0.000
0.000 3.091 0.000
0.000 0.000 9.477
Ta In Br
1 2 1
Direct
0.000 0.000 0.000
0.000 0.000 0.515
0.500 0.500 0.779
0.500 0.500 0.173
```

---

This record from Alexandria via LeMat-Bulk describes a PBEsol-optimized structure of TaOs2Pt. The functional is SCAN.

Output
Space group: Pmmm, No. 47
Formation energy from the elements in eV/f.u.: -0.358

```
TaOs2Pt
1.0
2.777 0.000 0.000
0.000 3.873 0.000
0.000 0.000 5.585
Ta Os Pt
1 2 1
Direct
0.000 0.000 0.000
0.500 0.500 0.255
0.500 0.500 0.745
0.000 0.000 0.500
```

---

Repeat the second record exactly.
This record from Alexandria via LeMat-Bulk describes a PBEsol-optimized structure of TaOs2Pt. The functional is SCAN.

Output
Space group: Pmmm, No. 47
Formation energy from the elements in eV/f.u.: -0.358

```
TaOs2Pt
1.0
2.777 0.000 0.000
0.000 3.873 0.000
0.000 0.000 5.585
Ta Os Pt
1 2 1
Direct
0.000 0.000 0.000
0.500 0.500 0.255
0.500 0.500 0.745
0.000 0.000 0.500
```